1.
Compound: Cs3Rb4Hg3
Source: the Alexandria database
Functional: PBE-GGA
Structure: relaxed

It has space group I-43d (No. 220), with a = 13.6996 Å, b = 13.6996 Å, c = 13.6996 Å, α = 90.00°, β = 90.00° and γ = 90.00°. The inequivalent atoms are Cs at (0.0000, 0.2500, 0.8750), Rb at (0.0819, 0.4181, 0.5819) and Hg at (0.0000, 0.2500, 0.3750).

The crystal system is cubic. The formation energy from the elements comes out at -13.8 kJ per mole of atoms.

***

2.
Compound: MgCd6Ag4
Source: the Alexandria database
Functional: PBE-GGA
Structure: relaxed

It has space group I-42m (No. 121), with a = 7.2544 Å, b = 7.2544 Å, c = 10.1258 Å, α = 90.00°, β = 90.00° and γ = 90.00°. The inequivalent atoms are Mg at (0.0000, 0.0000, 0.0000), Cd at (0.0000, 0.5000, 0.0000), Cd at (0.1557, 0.1557, 0.2743) and Ag at (0.1790, 0.1790, 0.5612).

The crystal system is tetragonal. The formation energy from the elements comes out at 6.8 kJ per mole of atoms.

***

3.
Compound: Tl2CrRh
Source: the Alexandria database
Functional: PBE-GGA
Structure: relaxed

It has space group I-42d (No. 122), with a = 7.5964 Å, b = 7.5964 Å, c = 5.9838 Å, α = 90.00°, β = 90.00° and γ = 90.00°. The inequivalent atoms are Tl at (0.2360, 0.2500, 0.1250), Cr at (0.0000, 0.0000, 0.5000) and Rh at (0.0000, 0.0000, 0.0000).

The polymorph energy (0 for the lowest one) comes out at 1.22 eV per formula unit. The crystal system is tetragonal. The formation energy from the elements comes out at 57.4 kJ per mole of atoms.

***

4.
Compound: RbVSnGe2
Source: the Alexandria database
Functional: PBE-GGA
Structure: relaxed

It has space group P4/mmm (No. 123), with a = 4.9489 Å, b = 4.9489 Å, c = 5.6890 Å, α = 90.00°, β = 90.00° and γ = 90.00°. The inequivalent atoms are Rb at (0.0000, 0.0000, 0.0000), V at (0.0000, 0.0000, 0.5000), Sn at (0.5000, 0.5000, 0.0000) and Ge at (0.0000, 0.5000, 0.5000).

The crystal system is tetragonal. The formation energy from the elements comes out at 61.3 kJ per mole of atoms.

***

5.
Compound: Ba2LaRh
Source: the Alexandria database
Functional: PBE-GGA
Structure: relaxed

It has space group Amm2 (No. 38), with a = 3.9997 Å, b = 4.2633 Å, c = 19.3890 Å, α = 90.00°, β = 90.00° and γ = 90.00°. The inequivalent atoms are Ba at (0.0000, 0.0000, 0.0000), Ba at (0.5000, 0.0000, 0.3128), La at (0.5000, 0.0000, 0.6499) and Rh at (0.0000, 0.0000, 0.1650).

The polymorph energy (0 for the lowest one) comes out at 0.26 eV per formula unit. The crystal system is orthorhombic. The formation energy from the elements comes out at -25.9 kJ per mole of atoms.

***

6.
Compound: PdPb6Au2
Source: the Alexandria database
Functional: PBE-GGA
Structure: relaxed

It has space group C2/m (No. 12), with a = 15.2144 Å, b = 6.9006 Å, c = 5.0875 Å, α = 90.00°, β = 109.13° and γ = 90.00°. The inequivalent atoms are Pd at (0.0000, 0.0000, 0.0000), Pb at (0.0000, 0.2357, 0.5000), Pb at (0.1623, 0.2541, 0.1620) and Au at (0.1678, 0.5000, 0.6675).

The polymorph energy (0 for the lowest one) comes out at 0.00 eV per formula unit. The crystal system is monoclinic. The formation energy from the elements comes out at -8.1 kJ per mole of atoms.

***

7.
Compound: AsPAu2
Source: the Alexandria database
Functional: PBE-GGA
Structure: relaxed

It has space group P4mm (No. 99), with a = 3.1054 Å, b = 3.1054 Å, c = 7.4624 Å, α = 90.00°, β = 90.00° and γ = 90.00°. The inequivalent atoms are As at (0.0000, 0.0000, 0.0000), P at (0.5000, 0.5000, 0.7195), Au at (0.0000, 0.0000, 0.5176) and Au at (0.5000, 0.5000, 0.2417).

The polymorph energy (0 for the lowest one) comes out at 0.94 eV per formula unit. The crystal system is tetragonal. The formation energy from the elements comes out at 34.3 kJ per mole of atoms.

***

8.
Compound: Dy2Ga5Ni4
Source: the Alexandria database
Functional: PBE-GGA
Structure: relaxed

It has space group Fmmm (No. 69), with a = 5.2516 Å, b = 8.9333 Å, c = 15.3445 Å, α = 90.00°, β = 90.00° and γ = 90.00°. The inequivalent atoms are Dy at (0.0000, 0.0000, 0.1314), Ga at (0.0000, 0.0000, 0.5000), Ga at (0.2500, 0.2500, 0.0000), Ga at (0.2500, 0.2500, 0.2500) and Ni at (0.0000, 0.1563, 0.3695).

The crystal system is orthorhombic. The formation energy from the elements comes out at -51.6 kJ per mole of atoms.

***

9.
Compound: Pm5NdHg4
Source: the Alexandria database
Functional: PBE-GGA
Structure: relaxed

It has space group P4/mmm (No. 123), with a = 3.7816 Å, b = 3.7816 Å, c = 20.3975 Å, α = 90.00°, β = 90.00° and γ = 90.00°. The inequivalent atoms are Pm at (0.0000, 0.0000, 0.0000), Pm at (0.0000, 0.0000, 0.1876), Pm at (0.0000, 0.0000, 0.3769), Nd at (0.5000, 0.5000, 0.5000), Hg at (0.5000, 0.5000, 0.0944) and Hg at (0.5000, 0.5000, 0.2848).

The crystal system is tetragonal. The formation energy from the elements comes out at -36.1 kJ per mole of atoms.

***

10.
Compound: TmH8Ir2Pd
Source: the Alexandria database
Functional: PBE-GGA
Structure: relaxed

It has space group C2/m (No. 12), with a = 9.1583 Å, b = 3.9788 Å, c = 6.1225 Å, α = 90.00°, β = 111.62° and γ = 90.00°. The inequivalent atoms are Tm at (0.0000, 0.0000, 0.0000), H at (0.1361, 0.5000, 0.0406), H at (0.1369, 0.2519, 0.7523), H at (0.1924, 0.0000, 0.3614), Ir at (0.2450, 0.5000, 0.3217) and Pd at (0.0000, 0.5000, 0.5000).

The crystal system is monoclinic. For the total energy, the calculation gives -111.89 eV for the cell shown.

***

11.
Compound: IrRhW2
Source: the Alexandria database
Functional: PBE-GGA
Structure: relaxed

It has space group P4/mmm (No. 123), with a = 2.7671 Å, b = 2.7671 Å, c = 7.8924 Å, α = 90.00°, β = 90.00° and γ = 90.00°. The inequivalent atoms are Ir at (0.0000, 0.0000, 0.0000), Rh at (0.0000, 0.0000, 0.5000) and W at (0.5000, 0.5000, 0.2500).

The polymorph energy (0 for the lowest one) comes out at 0.07 eV per formula unit. The crystal system is tetragonal. The formation energy from the elements comes out at -20.7 kJ per mole of atoms.

***

12.
Compound: TiBeGe
Source: the Alexandria database
Functional: PBE-GGA
Structure: relaxed

It has space group I4_1md (No. 109), with a = 4.2668 Å, b = 4.2668 Å, c = 11.1558 Å, α = 90.00°, β = 90.00° and γ = 90.00°. The inequivalent atoms are Ti at (0.0000, 0.0000, 0.0000), Be at (0.0000, 0.0000, 0.2100) and Ge at (0.0000, 0.0000, 0.4163).

The crystal system is tetragonal. The formation energy from the elements comes out at 44.4 kJ per mole of atoms.

***

13.
Compound: LaCe2In3
Source: the Alexandria database
Functional: PBE-GGA
Structure: relaxed

It has space group P4/mmm (No. 123), with a = 3.4607 Å, b = 3.4607 Å, c = 14.1896 Å, α = 90.00°, β = 90.00° and γ = 90.00°. The inequivalent atoms are La at (0.0000, 0.0000, 0.0000), Ce at (0.0000, 0.0000, 0.3358), In at (0.5000, 0.5000, 0.1715) and In at (0.5000, 0.5000, 0.5000).

The crystal system is tetragonal. The formation energy from the elements comes out at -38.7 kJ per mole of atoms.

***

14.
Compound: SbIrPb2
Source: the Alexandria database
Functional: PBE-GGA
Structure: relaxed

It has space group F-43m (No. 216), with a = 7.2642 Å, b = 7.2642 Å, c = 7.2642 Å, α = 90.00°, β = 90.00° and γ = 90.00°. The inequivalent atoms are Sb at (0.0000, 0.0000, 0.0000), Ir at (0.2500, 0.2500, 0.2500), Pb at (0.0000, 0.0000, 0.5000) and Pb at (0.2500, 0.2500, 0.7500).

The crystal system is cubic. The value obtained for the formation energy from raw total energies is 166 kJ/mol of formula units.

***

15.
Compound: Pr2Al2Au5
Source: the Alexandria database
Functional: PBE-GGA
Structure: relaxed

It has space group P4/mmm (No. 123), with a = 4.7286 Å, b = 4.7286 Å, c = 8.7033 Å, α = 90.00°, β = 90.00° and γ = 90.00°. The inequivalent atoms are Pr at (0.0000, 0.0000, 0.0000), Pr at (0.0000, 0.0000, 0.5000), Al at (0.5000, 0.5000, 0.1516), Au at (0.0000, 0.5000, 0.2651) and Au at (0.5000, 0.5000, 0.5000).

The crystal system is tetragonal. The formation energy from the elements comes out at -59.0 kJ per mole of atoms.

***

16.
Compound: AcPr4Y5
Source: the Alexandria database
Functional: PBE-GGA
Structure: relaxed

It has space group P4/mmm (No. 123), with a = 3.7030 Å, b = 3.7030 Å, c = 25.4934 Å, α = 90.00°, β = 90.00° and γ = 90.00°. The inequivalent atoms are Ac at (0.0000, 0.0000, 0.0000), Pr at (0.0000, 0.0000, 0.2039), Pr at (0.0000, 0.0000, 0.4014), Y at (0.5000, 0.5000, 0.1059), Y at (0.5000, 0.5000, 0.3029) and Y at (0.5000, 0.5000, 0.5000).

The polymorph energy (0 for the lowest one) comes out at 0.00 eV per formula unit. The crystal system is tetragonal. The formation energy from the elements comes out at 2.3 kJ per mole of atoms.

***

17.
Compound: NaCd3Hg12
Source: the Alexandria database
Functional: PBE-GGA
Structure: relaxed

It has space group P4/mmm (No. 123), with a = 5.5779 Å, b = 5.5779 Å, c = 13.4366 Å, α = 90.00°, β = 90.00° and γ = 90.00°. The inequivalent atoms are Na at (0.0000, 0.0000, 0.0000), Cd at (0.0000, 0.0000, 0.2546), Cd at (0.0000, 0.0000, 0.5000), Hg at (0.0000, 0.5000, 0.1310), Hg at (0.0000, 0.5000, 0.3776), Hg at (0.5000, 0.5000, 0.0000), Hg at (0.5000, 0.5000, 0.2520) and Hg at (0.5000, 0.5000, 0.5000).

The crystal system is tetragonal. The formation energy from the elements comes out at -2.5 kJ per mole of atoms.

***

18.
Compound: ThFeCo3
Source: the Alexandria database
Functional: PBE-GGA
Structure: relaxed

It has space group Imma (No. 74), with a = 4.7825 Å, b = 8.1854 Å, c = 8.1050 Å, α = 90.00°, β = 90.00° and γ = 90.00°. The inequivalent atoms are Th at (0.0000, 0.2500, 0.0475), Fe at (0.0000, 0.0000, 0.5000), Co at (0.0000, 0.2500, 0.6759) and Co at (0.2500, 0.0058, 0.7500).

The crystal system is orthorhombic. The formation energy from the elements comes out at -3.2 kJ per mole of atoms.

***

19.
Compound: ThAl6Cu12
Source: the Alexandria database
Functional: PBE-GGA
Structure: relaxed

It has space group R-3m (No. 166, hexagonal axes), with a = 10.7258 Å, b = 10.7258 Å, c = 8.5670 Å, α = 90.00°, β = 90.00° and γ = 120.00°. The inequivalent atoms are Th at (0.0000, 0.0000, 0.0000), Al at (0.0553, 0.5277, 0.2443), Cu at (0.0000, 0.3888, 0.5000) and Cu at (0.0859, 0.1719, 0.2936).

The crystal system is trigonal. The formation energy from the elements comes out at -9.1 kJ per mole of atoms.

***

20.
Compound: Li2HfAu4
Source: the Alexandria database
Functional: PBE-GGA
Structure: relaxed

It has space group I4/mmm (No. 139), with a = 4.4327 Å, b = 4.4327 Å, c = 13.2128 Å, α = 90.00°, β = 90.00° and γ = 90.00°. The inequivalent atoms are Li at (0.0000, 0.0000, 0.2404), Hf at (0.0000, 0.0000, 0.5000) and Au at (0.0000, 0.5000, 0.1290).

The crystal system is tetragonal. The formation energy from the elements comes out at -38.0 kJ per mole of atoms.

***

Computed density of states at the Fermi level, in the same sequence as the records: 23.9, 7.2, 11.4, 4.4, 6.2, 9.6, 1.0, 15.5, 12.0, 4.0, 3.0, 8.1, 13.7, 6.0, 6.1, 15.2, 4.5, 24.2, 12.7, 6.1 states/eV/cell.
Computed total magnetic moment, in the same sequence as the records: 0.00, 0.00, 4.07, 1.67, 0.00, 0.00, 0.00, 0.00, 1.36, 0.00, 0.00, 0.00, 2.42, 0.00, 0.00, 0.00, 0.00, 5.18, 0.00, 0.00 μB per formula unit.